A plane-wave DFT calculation with GGA-PBE was carried out for a geometry-optimized Pr4Y3Tm4 structure.

Its energy is -5.063 eV/atom. Its crystal system is triclinic. For the energy of formation from the pure elements, the calculation gives 6 kJ/mol of atoms.

Cell lengths 3.543, 5.683, 18.199 Å; angles 81.02, 84.41, 89.99 degrees
Positions (direct):
Pr 0.591 0.091 0.819
Pr 0.268 0.268 0.464
Pr 0.732 0.732 0.536
Pr 0.409 0.909 0.181
Y 0.136 0.636 0.729
Y 0.864 0.364 0.271
Y 0.000 0.000 0.000
Tm 0.545 0.545 0.910
Tm 0.455 0.455 0.090
Tm 0.319 0.819 0.361
Tm 0.681 0.181 0.638



A plane-wave DFT calculation with GGA-PBE was carried out for a geometry-optimized CsMg2VRe structure.

Its energy is -2.288 eV/atom. Its crystal system is tetragonal. For the energy of formation from the pure elements, the calculation gives 273 kJ/mol of atoms.

Cell lengths 5.347, 4.889, 5.347 Å; angles 90.00, 90.00, 90.00 degrees
Positions (direct):
Cs 0.000 0.000 0.000
Re 0.500 0.500 0.500
Mg 0.000 0.000 0.500
Mg 0.500 0.000 0.000
V 0.000 0.500 0.000



A plane-wave DFT calculation with GGA-PBE was carried out for a geometry-optimized TaNiHgBr2 structure.

Its energy is -3.541 eV/atom. Its crystal system is tetragonal. The formation energy from raw total energies comes out at 3.6 eV per formula unit.

Cell lengths 4.888, 4.955, 4.888 Å; angles 90.00, 90.00, 90.00 degrees
Positions (direct):
Ni 0.000 0.000 0.000
Hg 0.500 0.500 0.500
Br 0.000 0.000 0.500
Br 0.500 0.000 0.000
Ta 0.000 0.500 0.000



A plane-wave DFT calculation with GGA-PBE was carried out for a geometry-optimized Pr2GePt6 structure.

Its energy is -6.504 eV/atom. Its crystal system is monoclinic. For the energy of formation from the pure elements, the calculation gives -87 kJ/mol of atoms.

Cell lengths 5.745, 5.715, 6.295 Å; angles 77.92, 90.00, 120.17 degrees
Positions (direct):
Pr 0.643 0.285 0.149
Pr 0.357 0.715 0.851
Ge 0.000 0.000 0.000
Pt 0.879 0.272 0.687
Pt 0.879 0.759 0.693
Pt 0.393 0.272 0.687
Pt 0.121 0.728 0.313
Pt 0.121 0.241 0.307
Pt 0.607 0.728 0.313



A plane-wave DFT calculation with GGA-PBE was carried out for a geometry-optimized Th2TeSe structure.

Its energy is -6.650 eV/atom. Its crystal system is trigonal. The formation energy from raw total energies comes out at -5.1 eV per formula unit.

Cell lengths 4.170, 4.170, 8.014 Å; angles 74.92, 74.92, 60.00 degrees
Positions (direct):
Te 0.500 0.500 0.500
Se 0.000 0.000 0.000
Th 0.742 0.742 0.774
Th 0.258 0.258 0.226



A plane-wave DFT calculation with GGA-PBE was carried out for a geometry-optimized Hf4SnPt structure.

Its energy is -8.767 eV/atom. Its crystal system is monoclinic. For the energy of formation from the pure elements, the calculation gives -44 kJ/mol of atoms.

Cell lengths 5.513, 7.951, 7.387 Å; angles 113.63, 100.08, 111.60 degrees
Positions (direct):
Hf 0.050 0.189 0.803
Hf 0.764 0.710 0.612
Hf 0.253 0.614 0.803
Hf 0.347 0.902 0.612
Hf 0.653 0.098 0.388
Hf 0.747 0.386 0.197
Hf 0.236 0.290 0.388
Hf 0.950 0.811 0.197
Sn 0.356 0.606 0.211
Sn 0.644 0.394 0.789
Pt 0.253 0.003 0.007
Pt 0.747 0.997 0.993



A plane-wave DFT calculation with GGA-PBE was carried out for a geometry-optimized Dy2AlZn2 structure.

Its energy is -3.474 eV/atom. Its crystal system is tetragonal. For the energy of formation from the pure elements, the calculation gives -36 kJ/mol of atoms.

Cell lengths 6.943, 6.943, 8.992 Å; angles 90.00, 90.00, 90.00 degrees
Positions (direct):
Dy 0.675 0.825 0.500
Dy 0.325 0.175 0.500
Dy 0.825 0.325 0.000
Dy 0.175 0.675 0.000
Dy 0.825 0.325 0.500
Dy 0.175 0.675 0.500
Dy 0.325 0.175 0.000
Dy 0.675 0.825 0.000
Al 0.500 0.500 0.250
Al 0.000 0.000 0.750
Al 0.500 0.500 0.750
Al 0.000 0.000 0.250
Zn 0.371 0.871 0.250
Zn 0.629 0.129 0.250
Zn 0.129 0.371 0.750
Zn 0.871 0.629 0.750
Zn 0.871 0.629 0.250
Zn 0.129 0.371 0.250
Zn 0.371 0.871 0.750
Zn 0.629 0.129 0.750



A plane-wave DFT calculation with GGA-PBE was carried out for a geometry-optimized Li2OsCl structure.

Its energy is -4.077 eV/atom. Its crystal system is monoclinic. The formation energy from raw total energies comes out at 0.6 eV per formula unit.

Cell lengths 4.537, 2.788, 4.840 Å; angles 87.50, 90.00, 90.00 degrees
Positions (direct):
Cl 0.500 0.618 0.681
Li 0.000 0.099 0.008
Li 0.500 0.156 0.296
Os 0.000 0.627 0.515



A plane-wave DFT calculation with GGA-PBE was carried out for a geometry-optimized Dy5CdIn6 structure.

Its energy is -3.772 eV/atom. Its crystal system is orthorhombic. For the energy of formation from the pure elements, the calculation gives -39 kJ/mol of atoms.

Cell lengths 4.800, 8.902, 8.907 Å; angles 119.98, 105.63, 90.00 degrees
Positions (direct):
Cd 0.000 0.000 0.000
In 0.171 0.425 0.342
In 0.171 0.917 0.342
In 0.500 0.257 0.000
In 0.500 0.743 0.000
In 0.829 0.083 0.658
In 0.829 0.575 0.658
Dy 0.351 0.851 0.701
Dy 0.671 0.671 0.341
Dy 0.000 0.500 0.000
Dy 0.329 0.329 0.659
Dy 0.649 0.149 0.299



A plane-wave DFT calculation with GGA-PBE was carried out for a geometry-optimized CsGaS2 structure.

Its energy is -3.760 eV/atom. Its crystal system is trigonal. The formation energy from raw total energies comes out at -2.9 eV per formula unit.

Cell lengths 8.193, 8.193, 8.193 Å; angles 38.53, 38.53, 38.53 degrees
Positions (direct):
Cs 0.500 0.500 0.500
S 0.909 0.909 0.909
S 0.091 0.091 0.091
Ga 0.000 0.000 0.000



A plane-wave DFT calculation with GGA-PBE was carried out for a geometry-optimized HfMgCl3 structure.

Its energy is -3.837 eV/atom. Its crystal system is cubic. The formation energy from raw total energies comes out at -2.1 eV per formula unit.

Cell lengths 4.909, 4.909, 4.909 Å; angles 90.00, 90.00, 90.00 degrees
Positions (direct):
Mg 0.000 0.000 0.000
Hf 0.500 0.500 0.500
Cl 0.000 0.500 0.000
Cl 0.000 0.000 0.500
Cl 0.500 0.000 0.000



A plane-wave DFT calculation with GGA-PBE was carried out for a geometry-optimized HOsICl6 structure.

Its energy is -3.361 eV/atom. Its crystal system is triclinic.

Cell lengths 6.636, 6.636, 9.768 Å; angles 73.65, 106.22, 56.24 degrees
Positions (direct):
H 0.816 0.816 0.500
Os 0.314 0.314 0.500
I 0.951 0.951 0.000
Cl 0.882 0.480 0.312
Cl 0.481 0.881 0.689
Cl 0.758 0.167 0.677
Cl 0.122 0.510 0.648
Cl 0.167 0.758 0.323
Cl 0.510 0.122 0.352